Entry from Alexandria: a geometry-optimized Co2Pb structure (GGA-PBE).

a b c (Å): 5.103 3.824 10.282
angles (deg): 90.00 90.00 90.00
Sites, in units of the cell vectors:
Co (0.019, 0.250, 0.178)
Co (0.117, 0.750, 0.045)
Co (0.383, 0.250, 0.545)
Co (0.481, 0.750, 0.678)
Co (0.519, 0.250, 0.322)
Co (0.617, 0.750, 0.455)
Co (0.883, 0.250, 0.955)
Co (0.981, 0.750, 0.822)
Pb (0.112, 0.750, 0.368)
Pb (0.388, 0.250, 0.868)
Pb (0.612, 0.750, 0.132)
Pb (0.888, 0.250, 0.632)

Calculated values
Crystal system: orthorhombic
Total DFT energy (no corrections) (eV per atom): -5.50
Spin magnetization (μB/atom): 0.962
Formation enthalpy at 0 K (eV per atom): 0.48



Entry from Alexandria: a geometry-optimized NiAg2Pb structure (GGA-PBE).

a b c (Å): 4.721 4.721 4.721
angles (deg): 120.57 120.57 89.02
Sites, in units of the cell vectors:
Ni (0.000, 0.000, 0.000)
Ag (0.500, 0.500, 0.000)
Ag (0.750, 0.250, 0.500)
Pb (0.250, 0.750, 0.500)

Calculated values
Crystal system: tetragonal
Total DFT energy (no corrections) (eV per atom): -3.57
Spin magnetization (μB/atom): 0.000
Formation enthalpy at 0 K (eV per atom): 0.23



Entry from Alexandria: a geometry-optimized CuAgSnPd structure (GGA-PBE).

a b c (Å): 4.566 4.566 4.566
angles (deg): 60.00 60.00 60.00
Sites, in units of the cell vectors:
Cu (0.000, 0.000, 0.000)
Ag (0.250, 0.250, 0.250)
Sn (0.750, 0.750, 0.750)
Pd (0.500, 0.500, 0.500)

Calculated values
Crystal system: cubic
Total DFT energy (no corrections) (eV per atom): -4.18
Spin magnetization (μB/atom): 0.000
Formation enthalpy at 0 K (eV per atom): -0.15



Number 2 is which compound?
NiAg2Pb



Which formula does entry 1 have?
Co2Pb



Which of these has the highest total DFT energy (no corrections)?
NiAg2Pb